# RbCuHAu2 GGA-PBE relaxed
data_RbCuHAu2
_cell_length_a 5.5980
_cell_length_b 5.5980
_cell_length_c 3.2529
_cell_angle_alpha 90.00
_cell_angle_beta 90.00
_cell_angle_gamma 90.00
_space_group_name_H-M_alt 'P 4/m m m'
_space_group_IT_number 123
_space_group_name_Hall '-P 4 2'
loop_
_atom_site_label
_atom_site_type_symbol
_atom_site_fract_x
_atom_site_fract_y
_atom_site_fract_z
Rb1 Rb 0.0000 0.0000 0.0000
Cu1 Cu 0.5000 0.5000 0.5000
H1 H 0.5000 0.5000 0.0000
Au1 Au 0.0000 0.5000 0.5000
# **Total magnetic moment**: 0.000 μB/atom
# **Density of states at the Fermi level**: 0.3137 states/eV per atom
# **DFT total energy**: -13.67 eV/cell